Entry 1:
Here is a relaxed structure of U2AlFe from Alexandria. Energies are from PBE.

Unit cell a=2.8916 b=2.8916 c=30.9404 alpha=90.00 beta=90.00 gamma=120.00
Space group R-3m (No. 166, hexagonal axes)
Unique sites:
U  0.0000  0.0000  0.0957 x6
Al  0.0000  0.0000  0.0000 x3
Fe  0.0000  0.0000  0.5000 x3

Properties
N(E_F), states/eV per atom: 1.88
Final energy, eV/atom: -8.30
Calculated volume, Å³ per atom: 18.67
E_form, eV per atom: 0.399



Entry 2:
Here is a relaxed structure of SrTbInSn from Alexandria. Energies are from PBE.

Unit cell a=7.815 b=7.815 c=7.815 alpha=90.00 beta=90.00 gamma=90.00
Space group F-43m (No. 216)
Unique sites:
Sr  0.000  0.000  0.000 x4
Tb  0.000  0.000  0.500 x4
In  0.250  0.250  0.750 x4
Sn  0.250  0.250  0.250 x4

Properties
N(E_F), states/eV per atom: 0.54
Final energy, eV/atom: -3.72
Calculated volume, Å³ per atom: 29.83
E_form, eV per atom: -0.456



Entry 3:
Here is a relaxed structure of LiCuGeRh from Alexandria. Energies are from PBE.

Unit cell a=5.914 b=5.914 c=5.914 alpha=90.00 beta=90.00 gamma=90.00
Space group F-43m (No. 216)
Unique sites:
Li  0.000  0.000  0.000 x4
Cu  0.250  0.250  0.250 x4
Ge  0.000  0.000  0.500 x4
Rh  0.250  0.250  0.750 x4

Properties
N(E_F), states/eV per atom: 0.58
Final energy, eV/atom: -4.86
Calculated volume, Å³ per atom: 12.93
E_form, eV per atom: -0.364



Entry 4:
Here is a relaxed structure of KPu4Ni3S12 from Alexandria. Energies are from PBE.

Unit cell a=9.623 b=9.623 c=9.623 alpha=90.00 beta=90.00 gamma=90.00
Space group Im-3 (No. 204)
Unique sites:
K  0.000  0.000  0.000 x2
Pu  0.250  0.250  0.250 x8
Ni  0.000  0.000  0.500 x6
S  0.000  0.330  0.157 x24

Properties
Formation energy (no corrections), eV/f.u.: -17.89
N(E_F), states/eV per atom: 1.32
Final energy, eV/atom: -7.16
Calculated volume, Å³ per atom: 22.28



Entry 5:
Here is a relaxed structure of Dy3Ho2Te8 from Alexandria. Energies are from PBE.

Unit cell a=15.275 b=8.676 c=7.483 alpha=90.00 beta=108.56 gamma=90.00
Space group C2/m (No. 12)
Unique sites:
Dy  0.000  0.000  0.000 x2
Dy  0.000  0.257  0.500 x4
Ho  0.250  0.000  0.831 x4
Te  0.118  0.500  0.397 x4
Te  0.122  0.000  0.416 x4
Te  0.122  0.249  0.913 x8

Properties
Formation energy (no corrections), eV/f.u.: -16.20
N(E_F), states/eV per atom: 0.46
Final energy, eV/atom: -4.95
Calculated volume, Å³ per atom: 36.16



Entry 6:
Here is a relaxed structure of PaAlReNi from Alexandria. Energies are from PBE.

Unit cell a=6.497 b=6.497 c=6.497 alpha=90.00 beta=90.00 gamma=90.00
Space group F-43m (No. 216)
Unique sites:
Pa  0.000  0.000  0.000 x4
Al  0.000  0.000  0.500 x4
Re  0.250  0.250  0.750 x4
Ni  0.250  0.250  0.250 x4

Properties
N(E_F), states/eV per atom: 1.14
Final energy, eV/atom: -8.04
Calculated volume, Å³ per atom: 17.14
E_form, eV per atom: -0.169



Entry 7:
Here is a relaxed structure of TlTcAu2 from Alexandria. Energies are from PBE.

Unit cell a=6.748 b=6.748 c=6.748 alpha=90.00 beta=90.00 gamma=90.00
Space group Fm-3m (No. 225)
Unique sites:
Tl  0.000  0.000  0.000 x4
Tc  0.000  0.000  0.500 x4
Au  0.250  0.250  0.250 x8

Properties
ΔE to the lowest computed polymorph, kcal/mol of atoms: 3.57
N(E_F), states/eV per atom: 0.64
Final energy, eV/atom: -4.26
Calculated volume, Å³ per atom: 19.20
E_form, eV per atom: 0.558



Entry 8:
Here is a relaxed structure of TmGaAu from Alexandria. Energies are from PBE.

Unit cell a=4.495 b=21.035 c=7.750 alpha=90.00 beta=90.00 gamma=90.00
Space group Imm2 (No. 44)
Unique sites:
Tm  0.000  0.000  0.000 x2
Tm  0.000  0.166  0.060 x4
Tm  0.000  0.333  0.000 x4
Tm  0.000  0.500  0.063 x2
Ga  0.000  0.091  0.695 x4
Ga  0.000  0.265  0.366 x4
Ga  0.000  0.435  0.692 x4
Au  0.000  0.077  0.362 x4
Au  0.000  0.239  0.697 x4
Au  0.000  0.400  0.363 x4

Properties
N(E_F), states/eV per atom: 0.30
Final energy, eV/atom: -4.40
Calculated volume, Å³ per atom: 20.36
E_form, eV per atom: -0.805



Entry 9:
Here is a relaxed structure of Ba2AgMoSe from Alexandria. Energies are from PBE.

Unit cell a=6.089 b=6.089 c=4.795 alpha=90.00 beta=90.00 gamma=90.00
Space group P4/mmm (No. 123)
Unique sites:
Ba  0.000  0.500  0.000 x2
Ag  0.000  0.000  0.500 x1
Mo  0.500  0.500  0.000 x1
Se  0.500  0.500  0.500 x1

Properties
Formation energy (no corrections), eV/f.u.: 0.38
N(E_F), states/eV per atom: 0.82
Final energy, eV/atom: -4.13
Calculated volume, Å³ per atom: 35.56



Entry 10:
Here is a relaxed structure of TmAl4Au2 from Alexandria. Energies are from PBE.

Unit cell a=8.071 b=8.071 c=4.011 alpha=90.00 beta=90.00 gamma=90.00
Space group P4_2/mnm (No. 136)
Unique sites:
Tm  0.000  0.000  0.000 x2
Al  0.085  0.336  0.500 x8
Au  0.205  0.795  0.500 x4

Properties
ΔE to the lowest computed polymorph, kcal/mol of atoms: 1.30
N(E_F), states/eV per atom: 0.54
Final energy, eV/atom: -4.21
Calculated volume, Å³ per atom: 18.66
E_form, eV per atom: -0.501



Entry 11:
Here is a relaxed structure of Th3As3N from Alexandria. Energies are from PBE.

Unit cell a=10.4350 b=10.4350 c=5.8829 alpha=90.00 beta=90.00 gamma=120.00
Space group R3m (No. 160, hexagonal axes)
Unique sites:
Th  0.2106  0.4213  0.0000 x9
As  0.1839  0.3678  0.5051 x9
N  0.0000  0.0000  0.3094 x3

Properties
Formation energy (no corrections), eV/f.u.: -7.49
ΔE to the lowest computed polymorph, kcal/mol of atoms: 7.73
N(E_F), states/eV per atom: 0.00
Final energy, eV/atom: -7.43
Calculated volume, Å³ per atom: 26.42